Record 1
DFT (PBE) results for crystalline Rb2Tl13 at its relaxed geometry.

a b c (Å): 9.247 9.247 9.853
angles (deg): 62.01 62.01 60.00
Element x y z (fractional)
Tl1 0.491 0.844 0.173
Rb1 0.743 0.743 0.770
Tl2 0.876 0.260 0.605
Tl3 0.509 0.156 0.827
Tl4 0.844 0.491 0.173
Tl5 0.260 0.260 0.605
Tl6 0.509 0.509 0.827
Tl7 0.491 0.491 0.173
Tl8 0.740 0.124 0.395
Tl9 0.156 0.509 0.827
Tl10 0.500 0.500 0.500
Rb2 0.257 0.257 0.230
Tl11 0.260 0.876 0.605
Tl12 0.124 0.740 0.395
Tl13 0.740 0.740 0.395

Summary:
Symmetry: R-3m, No. 166


Record 2
DFT (PBE) results for crystalline Zr12In3Sn at its relaxed geometry.

a b c (Å): 4.480 4.480 17.821
angles (deg): 90.00 90.00 90.00
Element x y z (fractional)
Zr1 0.500 0.000 0.625
In1 0.000 0.000 0.500
Zr2 0.500 0.000 0.124
Sn1 0.000 0.000 0.000
Zr3 0.500 0.500 0.750
Zr4 0.500 0.000 0.876
In2 0.000 0.000 0.250
Zr5 0.500 0.500 0.500
Zr6 0.000 0.500 0.876
Zr7 0.500 0.500 0.250
Zr8 0.000 0.500 0.625
Zr9 0.000 0.500 0.124
Zr10 0.500 0.000 0.375
Zr11 0.500 0.500 0.000
Zr12 0.000 0.500 0.375
In3 0.000 0.000 0.750

Summary:
Symmetry: P4/mmm, No. 123


Values of final energy, in order: -31.06, -119.20, all in eV/cell.